1.
PBE CsLaSiTc2, relaxed; formation energy without anion corrections = 213.2 kJ/mol of atoms
1.0
4.9403 0.0000 0.0000
0.0000 5.5006 0.0000
0.0000 0.0000 4.9403
Cs Si Tc La
1 1 2 1
Direct
0.0000 0.0000 0.0000
0.0000 0.5000 0.0000
0.0000 0.0000 0.5000
0.5000 0.0000 0.0000
0.5000 0.5000 0.5000



2.
PBE NdAl2CuAu5, relaxed; ΔE_f = -0.24 eV/atom
1.0
-2.4006 3.9739 1.5835
-2.7491 -0.0419 -4.0623
-5.0864 -4.4626 3.4881
Nd Al Cu Au
1 2 1 5
Direct
0.0000 0.0000 0.5000
0.5000 0.5000 0.1626
0.5000 0.5000 0.8374
0.0000 0.0000 0.0000
0.0000 0.5000 0.2370
0.5000 0.0000 0.2370
0.0000 0.5000 0.7630
0.5000 0.0000 0.7630
0.5000 0.5000 0.5000



3.
PBE GaCoNi6, relaxed; ΔE_f = -0.13 eV/atom; offset from the most stable computed form = 0 meV/atom
1.0
3.5570 0.0000 0.0000
0.0000 3.5570 0.0000
0.0000 0.0000 7.0822
Ga Co Ni
1 1 6
Direct
0.0000 0.0000 0.0000
0.0000 0.0000 0.5000
0.5000 0.5000 0.0000
0.5000 0.5000 0.5000
0.5000 0.0000 0.2571
0.5000 0.0000 0.7429
0.0000 0.5000 0.2571
0.0000 0.5000 0.7429



Asked for total energy across the records above, the calculation gives -20.9; -34.9; -45.9 eV for the cell shown in order.